Material: YZn2Hg
Method: DFT, GGA-PBE
State: relaxed

Output
Formation enthalpy at 0 K, eV per formula unit: -0.8
Space group: Amm2 (38)
E_tot, eV per atom: -2.539

a b c (Å): 4.3212 5.8839 5.8839
angles (deg): 34.26 90.00 90.00
Last column: nearest neighbours and their distance in Å.
Atoms (fractional coordinates):
Y: 0.0000 0.0000 0.0000  7 Zn 3.04-3.11, 4 Hg 3.32
Zn: 0.0000 0.7293 0.7293  2 Zn 2.53
Zn: 0.5000 0.6119 0.6119  2 Zn 2.53
Hg: 0.5000 0.3367 0.3367  7 Zn 3.02-3.09, 4 Y 3.32



Material: EuEr2Pu
Method: DFT, GGA-PBE
State: relaxed

Output
Formation enthalpy at 0 K, eV per formula unit: 0.5
Space group: P4/mmm (123)
E_tot, eV per atom: -8.308

a b c (Å): 3.5415 3.5415 10.1018
angles (deg): 90.00 90.00 90.00
Last column: nearest neighbours and their distance in Å.
Atoms (fractional coordinates):
Eu: 0.0000 0.0000 0.0000  4 Eu 3.54, 8 Er 3.70
Er: 0.5000 0.5000 0.2694  4 Pu 3.42, 4 Er 3.54, 4 Eu 3.70
Er: 0.5000 0.5000 0.7306  4 Pu 3.42, 4 Er 3.54, 4 Eu 3.70
Pu: 0.0000 0.0000 0.5000  8 Er 3.42, 4 Pu 3.54



Material: Cd2Sb2Te
Method: DFT, GGA-PBE
State: relaxed

Output
Space group: P4/mbm (127)
Formation energy (no corrections), meV/atom: 102
E_tot, eV per atom: -2.542

a b c (Å): 8.5334 8.5334 3.9164
angles (deg): 90.00 90.00 90.00
Last column: nearest neighbours and their distance in Å.
Atoms (fractional coordinates):
Cd: 0.1198 0.3802 0.0000  1 Cd 2.89, 2 Sb 2.98
Cd: 0.3802 0.8802 0.0000  1 Cd 2.89, 2 Sb 2.98
Cd: 0.6198 0.1198 0.0000  1 Cd 2.89, 2 Sb 2.98
Cd: 0.8802 0.6198 0.0000  1 Cd 2.89, 2 Sb 2.98
Sb: 0.1943 0.6943 0.5000  2 Cd 2.98, 2 Te 3.09
Sb: 0.3057 0.1943 0.5000  2 Cd 2.98, 2 Te 3.09
Sb: 0.6943 0.8057 0.5000  2 Cd 2.98, 2 Te 3.09
Sb: 0.8057 0.3057 0.5000  2 Cd 2.98, 2 Te 3.09
Te: 0.0000 0.0000 0.5000  4 Sb 3.09
Te: 0.5000 0.5000 0.5000  4 Sb 3.09



Material: KAlSi2
Method: DFT, GGA-PBE
State: relaxed

Output
Space group: I4_1/amd (141)
Formation energy (no corrections), meV/atom: 260
E_tot, eV per atom: -3.662

a b c (Å): 9.1059 9.1059 9.1059
angles (deg): 147.09 147.09 47.23
Last column: nearest neighbours and their distance in Å.
Atoms (fractional coordinates):
K: 0.3750 0.6250 0.7500  8 Si 3.56, 4 Al 3.65
K: 0.6250 0.3750 0.2500  8 Si 3.56, 4 Al 3.65
Al: 0.1250 0.8750 0.2500  4 Si 2.45
Al: 0.8750 0.1250 0.7500  4 Si 2.45
Si: 0.0000 0.0000 0.0000  2 Al 2.45, 2 Si 2.58
Si: 0.0000 0.0000 0.5000  2 Al 2.45, 2 Si 2.58
Si: 0.0000 0.5000 0.0000  2 Al 2.45, 2 Si 2.58
Si: 0.5000 0.0000 0.5000  2 Al 2.45, 2 Si 2.58